Entry 1:
A plane-wave DFT calculation with PBE-GGA was carried out for a relaxed ZrV3N crystal.

Summary:
- Final energy: -30.70 eV for the cell shown
- Energy above the lowest structure with this stoichiometry: 3156 meV per atom

a b c (Å): 4.7236 4.7236 4.7236
angles (deg): 90.00 90.00 90.00
Closest atoms and distances in Å follow each position.
Sites, in units of the cell vectors:
Zr (0.0000, 0.0000, 0.0000)  6 V 2.36
V (0.0000, 0.0000, 0.5000)  2 Zr 2.36
V (0.0000, 0.5000, 0.0000)  2 Zr 2.36
V (0.5000, 0.0000, 0.0000)  2 Zr 2.36
N (0.5000, 0.5000, 0.5000)  12 V 3.34

***

Entry 2:
A plane-wave DFT calculation with PBE-GGA was carried out for a relaxed ZrV2N4 crystal.

Summary:
- Final energy: -61.18 eV for the cell shown

a b c (Å): 5.9353 5.9353 5.9353
angles (deg): 138.14 138.14 60.68
Closest atoms and distances in Å follow each position.
Sites, in units of the cell vectors:
Zr (0.0000, 0.0000, 0.0000)  6 N 2.12-2.25
V (0.3780, 0.3780, 0.0000)  1 N 1.62
V (0.6220, 0.6220, 0.0000)  1 N 1.62
N (0.0000, 0.5000, 0.5000)  2 Zr 2.12
N (0.2196, 0.2196, 0.0000)  1 V 1.62
N (0.5000, 0.0000, 0.5000)  2 Zr 2.12
N (0.7804, 0.7804, 0.0000)  1 V 1.62

***

Entry 3:
A plane-wave DFT calculation with PBE-GGA was carried out for a relaxed Zr2VN crystal.

Summary:
- Final energy: -35.97 eV for the cell shown

a b c (Å): 8.1069 8.1069 8.1069
angles (deg): 22.35 22.35 22.35
Closest atoms and distances in Å follow each position.
Sites, in units of the cell vectors:
Zr (0.1105, 0.1105, 0.1105)  3 N 2.25
Zr (0.8895, 0.8895, 0.8895)  3 N 2.25
V (0.0000, 0.0000, 0.0000)  2 Zr 2.62
N (0.5000, 0.5000, 0.5000)  6 Zr 2.25

***

Entry 4:
A plane-wave DFT calculation with PBE-GGA was carried out for a relaxed ZrVN2 crystal.

Summary:
- Final energy: -77.06 eV for the cell shown

a b c (Å): 5.8187 5.8187 5.8187
angles (deg): 132.44 132.44 69.54
Closest atoms and distances in Å follow each position.
Sites, in units of the cell vectors:
Zr (0.0000, 0.0000, 0.0000)  4 N 2.15
Zr (0.7500, 0.2500, 0.5000)  4 N 2.15
V (0.2500, 0.7500, 0.5000)  4 N 1.95
V (0.5000, 0.5000, 0.0000)  4 N 1.95
N (0.1614, 0.6250, 0.0364)  2 V 1.95, 2 Zr 2.15
N (0.3750, 0.4114, 0.5364)  2 V 1.95, 2 Zr 2.15
N (0.5886, 0.1250, 0.9636)  2 V 1.95, 2 Zr 2.15
N (0.8750, 0.8386, 0.4636)  2 V 1.95, 2 Zr 2.15

***

Entry 5:
A plane-wave DFT calculation with PBE-GGA was carried out for a relaxed Zr5VN6 crystal.

Summary:
- Final energy: -120.04 eV for the cell shown

a b c (Å): 5.5907 5.5907 5.5668
angles (deg): 99.61 99.61 120.09
Closest atoms and distances in Å follow each position.
Sites, in units of the cell vectors:
Zr (0.0000, 0.0000, 0.0000)  6 N 2.28-2.33
Zr (0.1658, 0.8342, 0.5000)  6 N 2.27-2.28
Zr (0.3371, 0.6629, 0.0000)  6 N 2.25-2.34
Zr (0.6629, 0.3371, 0.0000)  6 N 2.25-2.34
Zr (0.8342, 0.1658, 0.5000)  6 N 2.27-2.28
V (0.5000, 0.5000, 0.5000)  6 N 2.23-2.24
N (0.0907, 0.4190, 0.2544)  1 V 2.24, 5 Zr 2.28-2.34
N (0.2555, 0.2555, 0.7447)  1 V 2.23, 5 Zr 2.25-2.33
N (0.4190, 0.0907, 0.2544)  1 V 2.24, 5 Zr 2.28-2.34
N (0.5810, 0.9093, 0.7456)  1 V 2.24, 5 Zr 2.28-2.34
N (0.7445, 0.7445, 0.2553)  1 V 2.23, 5 Zr 2.25-2.33
N (0.9093, 0.5810, 0.7456)  1 V 2.24, 5 Zr 2.28-2.34

***

Entry 6:
A plane-wave DFT calculation with PBE-GGA was carried out for a relaxed Zr2VN crystal.

Summary:
- Final energy: -73.21 eV for the cell shown

a b c (Å): 6.2345 6.2345 6.2345
angles (deg): 95.53 95.53 143.82
Closest atoms and distances in Å follow each position.
Sites, in units of the cell vectors:
Zr (0.3750, 0.0267, 0.1517)  2 N 2.30
Zr (0.7767, 0.6250, 0.6517)  2 N 2.30
Zr (0.8750, 0.2233, 0.8483)  2 N 2.30
Zr (0.9733, 0.1250, 0.3483)  2 N 2.30
V (0.2500, 0.7500, 0.5000)  2 N 1.94
V (0.5000, 0.5000, 0.0000)  2 N 1.94
N (0.0000, 0.0000, 0.0000)  2 V 1.94
N (0.7500, 0.2500, 0.5000)  2 V 1.94

***

Entry 7:
A plane-wave DFT calculation with PBE-GGA was carried out for a relaxed ZrVN2 crystal.

Summary:
- Final energy: -36.79 eV for the cell shown

a b c (Å): 3.8427 3.8427 3.8427
angles (deg): 60.00 60.00 60.00
Closest atoms and distances in Å follow each position.
Sites, in units of the cell vectors:
Zr (0.0000, 0.0000, 0.0000)  8 N 2.35
V (0.5000, 0.5000, 0.5000)  8 N 2.35
N (0.2500, 0.2500, 0.2500)  4 Zr 2.35, 4 V 2.35
N (0.7500, 0.7500, 0.7500)  4 Zr 2.35, 4 V 2.35

***

Entry 8:
A plane-wave DFT calculation with PBE-GGA was carried out for a relaxed WN2 crystal.

Summary:
- Final energy: -240.64 eV for the cell shown

a b c (Å): 5.3817 9.4398 5.6951
angles (deg): 90.00 90.00 90.00
Closest atoms and distances in Å follow each position.
Sites, in units of the cell vectors:
W (0.1709, 0.1266, 0.0986)  4 N 1.86-2.03
W (0.1709, 0.3734, 0.5986)  4 N 1.86-2.03
W (0.3291, 0.6266, 0.0986)  4 N 1.86-2.03
W (0.3291, 0.8734, 0.5986)  4 N 1.86-2.03
W (0.6709, 0.1266, 0.4014)  4 N 1.86-2.03
W (0.6709, 0.3734, 0.9014)  4 N 1.86-2.03
W (0.8291, 0.6266, 0.4014)  4 N 1.86-2.03
W (0.8291, 0.8734, 0.9014)  4 N 1.86-2.03
N (0.0346, 0.7294, 0.0819)  2 W 1.86-2.03
N (0.0346, 0.7706, 0.5819)  2 W 1.86-2.03
N (0.2081, 0.5074, 0.3603)  2 W 1.87-1.98
N (0.2081, 0.9926, 0.8603)  2 W 1.87-1.98
N (0.2919, 0.0074, 0.3603)  2 W 1.87-1.98
N (0.2919, 0.4926, 0.8603)  2 W 1.87-1.98
N (0.4654, 0.2294, 0.0819)  2 W 1.86-2.03
N (0.4654, 0.2706, 0.5819)  2 W 1.86-2.03
N (0.5346, 0.7294, 0.4181)  2 W 1.86-2.03
N (0.5346, 0.7706, 0.9181)  2 W 1.86-2.03
N (0.7081, 0.5074, 0.1397)  2 W 1.87-1.98
N (0.7081, 0.9926, 0.6397)  2 W 1.87-1.98
N (0.7919, 0.0074, 0.1397)  2 W 1.87-1.98
N (0.7919, 0.4926, 0.6397)  2 W 1.87-1.98
N (0.9654, 0.2294, 0.4181)  2 W 1.86-2.03
N (0.9654, 0.2706, 0.9181)  2 W 1.86-2.03

***

Entry 9:
A plane-wave DFT calculation with PBE-GGA was carried out for a relaxed WN2 crystal.

Summary:
- Final energy: -240.70 eV for the cell shown

a b c (Å): 9.7339 9.7339 3.0474
angles (deg): 90.00 90.00 90.00
Closest atoms and distances in Å follow each position.
Sites, in units of the cell vectors:
W (0.0006, 0.2519, 0.0876)  3 N 1.84-2.06
W (0.2481, 0.0006, 0.4124)  3 N 1.84-2.06
W (0.2519, 0.4994, 0.4124)  3 N 1.84-2.06
W (0.4994, 0.2481, 0.0876)  3 N 1.84-2.06
W (0.5006, 0.7519, 0.9124)  3 N 1.84-2.06
W (0.7481, 0.5006, 0.5876)  3 N 1.84-2.06
W (0.7519, 0.9994, 0.5876)  3 N 1.84-2.06
W (0.9994, 0.7481, 0.9124)  3 N 1.84-2.06
N (0.0989, 0.3493, 0.5002)  1 W 1.84
N (0.1022, 0.8520, 0.5288)  2 W 1.84-2.06
N (0.1480, 0.6022, 0.0288)  2 W 1.84-2.06
N (0.1507, 0.0989, 0.9998)  1 W 1.84
N (0.3493, 0.4011, 0.9998)  1 W 1.84
N (0.3520, 0.8978, 0.0288)  2 W 1.84-2.06
N (0.3978, 0.6480, 0.5288)  2 W 1.84-2.06
N (0.4011, 0.1507, 0.5002)  1 W 1.84
N (0.5989, 0.8493, 0.4998)  1 W 1.84
N (0.6022, 0.3520, 0.4712)  2 W 1.84-2.06
N (0.6480, 0.1022, 0.9712)  2 W 1.84-2.06
N (0.6507, 0.5989, 0.0002)  1 W 1.84
N (0.8493, 0.9011, 0.0002)  1 W 1.84
N (0.8520, 0.3978, 0.9712)  2 W 1.84-2.06
N (0.8978, 0.1480, 0.4712)  2 W 1.84-2.06
N (0.9011, 0.6507, 0.4998)  1 W 1.84

***

Entry 10:
A plane-wave DFT calculation with PBE-GGA was carried out for a relaxed W7N6 crystal.

Summary:
- Final energy: -286.30 eV for the cell shown

a b c (Å): 2.8855 2.8855 42.5859
angles (deg): 90.00 90.00 120.00
Closest atoms and distances in Å follow each position.
Sites, in units of the cell vectors:
W (0.0000, 0.0000, 0.0000)  3 N 2.20
W (0.0000, 0.0000, 0.0674)  6 N 2.19-2.20
W (0.0000, 0.0000, 0.1357)  4 N 2.07-2.23
W (0.0000, 0.0000, 0.3337)  3 N 2.22
W (0.0000, 0.0000, 0.4013)  6 N 2.18-2.20
W (0.0000, 0.0000, 0.4696)  4 N 2.08-2.23
W (0.0000, 0.0000, 0.6688)  3 N 2.17
W (0.0000, 0.0000, 0.7370)  6 N 2.01-2.26
W (0.3333, 0.6667, 0.2140)  6 N 2.09-2.18
W (0.3333, 0.6667, 0.2811)  3 N 2.21
W (0.3333, 0.6667, 0.5479)  6 N 2.09-2.19
W (0.3333, 0.6667, 0.6148)  3 N 2.19
W (0.3333, 0.6667, 0.8777)  6 N 2.01-2.25
W (0.3333, 0.6667, 0.9460)  3 N 2.17
N (0.0000, 0.0000, 0.1845)  4 W 2.07-2.09
N (0.0000, 0.0000, 0.2469)  6 W 2.18-2.21
N (0.0000, 0.0000, 0.5184)  4 W 2.08-2.09
N (0.0000, 0.0000, 0.5814)  6 W 2.19
N (0.0000, 0.0000, 0.8512)  3 W 2.01
N (0.0000, 0.0000, 0.9134)  6 W 2.17-2.25
N (0.3333, 0.6667, 0.0339)  6 W 2.19-2.20
N (0.3333, 0.6667, 0.1010)  6 W 2.20-2.23
N (0.3333, 0.6667, 0.3683)  6 W 2.18-2.22
N (0.3333, 0.6667, 0.4349)  6 W 2.20-2.23
N (0.3333, 0.6667, 0.7013)  6 W 2.17-2.26
N (0.3333, 0.6667, 0.7637)  3 W 2.01

***

Entry 11:
A plane-wave DFT calculation with PBE-GGA was carried out for a relaxed WN2 crystal.

Summary:
- Final energy: -59.86 eV for the cell shown

a b c (Å): 5.9514 5.9514 5.9514
angles (deg): 142.83 142.83 53.58
Closest atoms and distances in Å follow each position.
Sites, in units of the cell vectors:
W (0.3750, 0.6250, 0.7500)  6 N 1.98-2.10
W (0.6250, 0.3750, 0.2500)  6 N 1.98-2.10
N (0.1777, 0.4277, 0.7500)  3 W 1.98-2.10
N (0.4277, 0.1777, 0.2500)  3 W 1.98-2.10
N (0.5723, 0.8223, 0.7500)  3 W 1.98-2.10
N (0.8223, 0.5723, 0.2500)  3 W 1.98-2.10

***

Entry 12:
A plane-wave DFT calculation with PBE-GGA was carried out for a relaxed WN2 crystal.

Summary:
- Final energy: -60.86 eV for the cell shown

a b c (Å): 2.9379 2.9379 7.7964
angles (deg): 90.00 90.00 120.00
Closest atoms and distances in Å follow each position.
Sites, in units of the cell vectors:
W (0.3333, 0.6667, 0.2500)  6 N 2.10
W (0.6667, 0.3333, 0.7500)  6 N 2.10
N (0.0000, 0.0000, 0.0901)  1 N 1.41
N (0.0000, 0.0000, 0.4099)  1 N 1.41
N (0.0000, 0.0000, 0.5901)  1 N 1.41
N (0.0000, 0.0000, 0.9099)  1 N 1.41

***

Entry 13:
A plane-wave DFT calculation with PBE-GGA was carried out for a relaxed WN2 crystal.

Summary:
- Final energy: -114.28 eV for the cell shown

a b c (Å): 5.0177 5.0177 5.0177
angles (deg): 90.00 90.00 90.00
Closest atoms and distances in Å follow each position.
Sites, in units of the cell vectors:
W (0.0000, 0.0000, 0.0000)  6 N 2.05
W (0.0000, 0.5000, 0.5000)  6 N 2.05
W (0.5000, 0.0000, 0.5000)  6 N 2.05
W (0.5000, 0.5000, 0.0000)  6 N 2.05
N (0.1490, 0.6490, 0.8510)  3 W 2.05
N (0.1490, 0.8510, 0.3510)  3 W 2.05
N (0.3510, 0.1490, 0.8510)  3 W 2.05
N (0.3510, 0.3510, 0.3510)  3 W 2.05
N (0.6490, 0.6490, 0.6490)  3 W 2.05
N (0.6490, 0.8510, 0.1490)  3 W 2.05
N (0.8510, 0.1490, 0.6490)  3 W 2.05
N (0.8510, 0.3510, 0.1490)  3 W 2.05

***

Entry 14:
A plane-wave DFT calculation with PBE-GGA was carried out for a relaxed WN2 crystal.

Summary:
- Final energy: -90.77 eV for the cell shown

a b c (Å): 5.8691 5.8691 6.4642
angles (deg): 90.00 90.00 120.00
Closest atoms and distances in Å follow each position.
Sites, in units of the cell vectors:
W (0.0000, 0.5000, 0.3333)  4 N 1.86
W (0.5000, 0.0000, 0.0000)  4 N 1.86
W (0.5000, 0.5000, 0.6667)  4 N 1.86
N (0.2119, 0.4239, 0.5000)  2 W 1.86
N (0.2119, 0.7881, 0.1667)  2 W 1.86
N (0.4239, 0.2119, 0.8333)  2 W 1.86
N (0.5761, 0.7881, 0.8333)  2 W 1.86
N (0.7881, 0.2119, 0.1667)  2 W 1.86
N (0.7881, 0.5761, 0.5000)  2 W 1.86

***

Entry 15:
A plane-wave DFT calculation with PBE-GGA was carried out for a relaxed WN2 crystal.

Summary:
- Final energy: -120.62 eV for the cell shown

a b c (Å): 6.6338 6.6338 6.8808
angles (deg): 106.05 106.05 32.99
Closest atoms and distances in Å follow each position.
Sites, in units of the cell vectors:
W (0.0984, 0.0984, 0.2122)  4 N 1.87-1.96
W (0.1901, 0.1901, 0.7766)  4 N 1.82-2.00
W (0.8099, 0.8099, 0.2234)  4 N 1.82-2.00
W (0.9016, 0.9016, 0.7878)  4 N 1.87-1.96
N (0.0554, 0.0554, 0.8605)  2 W 1.87-1.96
N (0.1341, 0.1341, 0.5014)  2 W 1.82-1.91
N (0.2634, 0.2634, 0.1461)  2 W 2.00
N (0.3590, 0.3590, 0.7949)  3 W 1.96-2.12
N (0.6410, 0.6410, 0.2051)  3 W 1.96-2.12
N (0.7366, 0.7366, 0.8539)  2 W 2.00
N (0.8659, 0.8659, 0.4986)  2 W 1.82-1.91
N (0.9446, 0.9446, 0.1395)  2 W 1.87-1.96

***

Entry 16:
A plane-wave DFT calculation with PBE-GGA was carried out for a relaxed WN4 crystal.

Summary:
- Final energy: -37.34 eV for the cell shown

a b c (Å): 4.0108 4.0108 4.0108
angles (deg): 90.00 90.00 90.00
Closest atoms and distances in Å follow each position.
Sites, in units of the cell vectors:
W (0.0000, 0.0000, 0.0000)  6 N 2.01
N (0.0000, 0.0000, 0.5000)  2 W 2.01
N (0.0000, 0.5000, 0.0000)  2 W 2.01
N (0.5000, 0.0000, 0.0000)  2 W 2.01
N (0.5000, 0.5000, 0.5000)  12 N 2.84

***

Entry 17:
A plane-wave DFT calculation with PBE-GGA was carried out for a relaxed WN2 crystal.

Summary:
- Final energy: -60.65 eV for the cell shown

a b c (Å): 6.0726 6.0726 6.0726
angles (deg): 120.05 120.05 89.91
Closest atoms and distances in Å follow each position.
Sites, in units of the cell vectors:
W (0.0000, 0.0000, 0.0000)  4 N 1.86
W (0.7500, 0.2500, 0.5000)  4 N 1.86
N (0.3750, 0.1260, 0.2510)  2 W 1.86
N (0.8740, 0.1250, 0.2490)  2 W 1.86
N (0.8750, 0.1240, 0.7490)  2 W 1.86
N (0.8760, 0.6250, 0.7510)  2 W 1.86

***

Entry 18:
A plane-wave DFT calculation with PBE-GGA was carried out for a relaxed WN2 crystal.

Summary:
- Final energy: -30.43 eV for the cell shown

a b c (Å): 2.9321 2.9321 3.9183
angles (deg): 90.00 90.00 120.00
Closest atoms and distances in Å follow each position.
Sites, in units of the cell vectors:
W (0.0000, 0.0000, 0.0000)  6 N 2.10
N (0.3333, 0.6667, 0.3187)  1 N 1.42
N (0.3333, 0.6667, 0.6813)  1 N 1.42

***

Entry 19:
A plane-wave DFT calculation with PBE-GGA was carried out for a relaxed WN2 crystal.

Summary:
- Final energy: -28.54 eV for the cell shown

a b c (Å): 3.6673 3.6673 3.6673
angles (deg): 54.00 54.00 54.00
Closest atoms and distances in Å follow each position.
Sites, in units of the cell vectors:
W (0.0000, 0.0000, 0.0000)  8 N 2.11-2.25
N (0.2407, 0.2407, 0.2407)  4 W 2.11-2.25
N (0.7593, 0.7593, 0.7593)  4 W 2.11-2.25

***

Entry 20:
A plane-wave DFT calculation with PBE-GGA was carried out for a relaxed YWN2 crystal.

Summary:
- Final energy: -77.69 eV for the cell shown
- Energy above the lowest structure with this stoichiometry: 0 meV per atom

a b c (Å): 6.1509 6.1509 6.1509
angles (deg): 133.08 133.08 68.52
Closest atoms and distances in Å follow each position.
Sites, in units of the cell vectors:
Y (0.0000, 0.0000, 0.0000)  4 N 2.34
Y (0.7500, 0.2500, 0.5000)  4 N 2.34
W (0.2500, 0.7500, 0.5000)  4 N 1.99
W (0.5000, 0.5000, 0.0000)  4 N 1.99
N (0.1886, 0.6250, 0.0636)  2 W 1.99
N (0.3750, 0.4386, 0.5636)  2 W 1.99
N (0.5614, 0.1250, 0.9364)  2 W 1.99
N (0.8750, 0.8114, 0.4364)  2 W 1.99